MnPNF2: relaxed, PBE+U.

a = 4.508 Å, b = 4.508 Å, c = 3.309 Å
α = 90.00°, β = 90.00°, γ = 90.00°
Fractional coordinates of all 5 atoms:
Mn: 0.000 0.000 0.000
P: 0.500 0.500 0.500
N: 0.500 0.500 0.000
F: 0.000 0.500 0.500
F: 0.500 0.000 0.500

space-group type = P4/mmm, No. 123
energy relative to the lowest polymorph listed for this composition = 0 meV/atom



MnPN2F: relaxed, PBE+U.

a = 3.940 Å, b = 3.940 Å, c = 3.760 Å
α = 90.00°, β = 90.00°, γ = 90.00°
Fractional coordinates of all 5 atoms:
Mn: 0.000 0.000 0.000
P: 0.500 0.500 0.500
N: 0.000 0.500 0.000
N: 0.500 0.000 0.000
F: 0.000 0.000 0.500

space-group type = P4/mmm, No. 123
energy relative to the lowest polymorph listed for this composition = 697 meV/atom



MnPdN2F: relaxed, PBE+U.

a = 3.691 Å, b = 3.691 Å, c = 3.898 Å
α = 90.00°, β = 90.00°, γ = 90.00°
Fractional coordinates of all 5 atoms:
Mn: 0.000 0.000 0.000
Pd: 0.500 0.500 0.500
N: 0.000 0.500 0.000
N: 0.500 0.000 0.000
F: 0.000 0.000 0.500

space-group type = P4/mmm, No. 123
energy relative to the lowest polymorph listed for this composition = 0 meV/atom



MnPdN2F: relaxed, PBE+U.

a = 3.961 Å, b = 3.961 Å, c = 4.214 Å
α = 90.00°, β = 90.00°, γ = 90.00°
Fractional coordinates of all 5 atoms:
Mn: 0.000 0.000 0.000
Pd: 0.500 0.500 0.500
N: 0.000 0.500 0.500
N: 0.500 0.000 0.500
F: 0.500 0.500 0.000

space-group type = P4/mmm, No. 123
energy relative to the lowest polymorph listed for this composition = 536 meV/atom



MnPtN2F: relaxed, PBE+U.

a = 3.745 Å, b = 3.745 Å, c = 5.593 Å
α = 90.00°, β = 90.00°, γ = 90.00°
Fractional coordinates of all 5 atoms:
Mn: 0.000 0.000 0.000
Pt: 0.500 0.500 0.500
N: 0.000 0.500 0.500
N: 0.500 0.000 0.500
F: 0.500 0.500 0.000

space-group type = P4/mmm, No. 123
energy relative to the lowest polymorph listed for this composition = 0 meV/atom



MnPtN2F: relaxed, PBE+U.

a = 3.737 Å, b = 3.737 Å, c = 3.812 Å
α = 90.00°, β = 90.00°, γ = 90.00°
Fractional coordinates of all 5 atoms:
Mn: 0.000 0.000 0.000
Pt: 0.500 0.500 0.500
N: 0.000 0.500 0.000
N: 0.500 0.000 0.000
F: 0.000 0.000 0.500

space-group type = P4/mmm, No. 123
energy relative to the lowest polymorph listed for this composition = 563 meV/atom



RbMnNF2: relaxed, PBE+U.

a = 4.838 Å, b = 4.838 Å, c = 4.559 Å
α = 90.00°, β = 90.00°, γ = 90.00°
Fractional coordinates of all 5 atoms:
Rb: 0.000 0.000 0.000
Mn: 0.500 0.500 0.500
N: 0.000 0.000 0.500
F: 0.000 0.500 0.000
F: 0.500 0.000 0.000

space-group type = P4/mmm, No. 123
energy relative to the lowest polymorph listed for this composition = 1650 meV/atom



Rb2MnNF6: relaxed, PBE+U.

a = 6.403 Å, b = 6.403 Å, c = 6.403 Å
α = 127.50°, β = 127.50°, γ = 77.44°
Fractional coordinates of all 10 atoms:
Rb: 0.250 0.750 0.500
Rb: 0.750 0.250 0.500
Mn: 0.000 0.000 0.000
N: 0.500 0.500 0.000
F: 0.199 0.199 0.000
F: 0.269 0.269 0.537
F: 0.269 0.731 0.000
F: 0.731 0.269 0.000
F: 0.731 0.731 0.463
F: 0.801 0.801 0.000

final energy = -4.6255 eV per atom
space-group type = I4/mmm, No. 139



RbMnNF2: relaxed, PBE+U.

a = 4.420 Å, b = 4.420 Å, c = 3.843 Å
α = 90.00°, β = 90.00°, γ = 90.00°
Fractional coordinates of all 5 atoms:
Rb: 0.000 0.000 0.000
Mn: 0.500 0.500 0.500
N: 0.500 0.500 0.000
F: 0.000 0.500 0.500
F: 0.500 0.000 0.500

space-group type = P4/mmm, No. 123
energy relative to the lowest polymorph listed for this composition = 0 meV/atom



MnReN2F: relaxed, PBE+U.

a = 3.960 Å, b = 3.960 Å, c = 3.685 Å
α = 90.00°, β = 90.00°, γ = 90.00°
Fractional coordinates of all 5 atoms:
Mn: 0.000 0.000 0.000
Re: 0.500 0.500 0.500
N: 0.000 0.500 0.000
N: 0.500 0.000 0.000
F: 0.000 0.000 0.500

space-group type = P4/mmm, No. 123
energy relative to the lowest polymorph listed for this composition = 1002 meV/atom



MnReNF2: relaxed, PBE+U.

a = 4.281 Å, b = 4.281 Å, c = 3.836 Å
α = 90.00°, β = 90.00°, γ = 90.00°
Fractional coordinates of all 5 atoms:
Mn: 0.000 0.000 0.000
Re: 0.500 0.500 0.500
N: 0.500 0.500 0.000
F: 0.000 0.500 0.500
F: 0.500 0.000 0.500

space-group type = P4/mmm, No. 123
energy relative to the lowest polymorph listed for this composition = 0 meV/atom



MnReNF2: relaxed, PBE+U.

a = 3.807 Å, b = 3.807 Å, c = 4.704 Å
α = 90.00°, β = 90.00°, γ = 90.00°
Fractional coordinates of all 5 atoms:
Mn: 0.000 0.000 0.000
Re: 0.500 0.500 0.500
N: 0.000 0.000 0.500
F: 0.000 0.500 0.000
F: 0.500 0.000 0.000

space-group type = P4/mmm, No. 123
energy relative to the lowest polymorph listed for this composition = 478 meV/atom